Entry 1:
5
Lattice="4.833 0.000 0.000 0.000 4.833 0.000 0.000 0.000 4.833" Properties=species:S:1:pos:R:3 comment="DyPa3N | Alexandria via LeMat-Bulk | PBE | optimized geometry" n_ef_per_ev_cell=5.635 sg=Pm-3m e_form_raw_kj_per_mol_atoms=-47 pbc="T T T"
Dy 0.000 0.000 0.000
Pa 0.000 2.417 2.417
Pa 2.417 0.000 2.417
Pa 2.417 2.417 0.000
N 2.417 2.417 2.417



Entry 2:
12
Lattice="6.608 -1.715 0.000 6.608 1.715 0.000 -2.822 0.000 8.040" Properties=species:S:1:pos:R:3 comment="Dy2PaN3 | Alexandria via LeMat-Bulk | PBE | optimized geometry" n_ef_per_ev_cell=6.769 sg=C2/m e_form_raw_kj_per_mol_atoms=-126 pbc="T T T"
Dy 1.296 0.000 2.711
Dy 3.877 0.000 1.312
Dy 6.517 0.000 6.728
Dy 9.097 0.000 5.329
Pa -1.411 0.000 4.020
Pa 6.608 0.000 0.000
N -1.906 0.000 6.456
N 1.722 0.000 6.979
N 3.526 0.000 3.826
N 6.868 0.000 4.214
N 8.671 0.000 1.061
N 12.300 0.000 1.584



Entry 3:
80
Lattice="-6.937 6.937 6.937 6.937 -6.937 6.937 6.937 6.937 -6.937" Properties=species:S:1:pos:R:3 comment="Dy3Pa5N12 | Alexandria via LeMat-Bulk | PBE | optimized geometry" n_ef_per_ev_cell=42.107 sg=Ia-3d e_form_raw_kj_per_mol_atoms=-121 pbc="T T T"
Dy 3.468 1.734 0.000
Dy 6.937 3.468 -1.734
Dy 1.734 0.000 3.468
Dy 8.671 0.000 3.468
Dy 0.000 3.468 1.734
Dy 3.468 -1.734 6.937
Dy 3.468 8.671 0.000
Dy 6.937 3.468 5.203
Dy -1.734 6.937 3.468
Dy 5.203 6.937 3.468
Dy 0.000 3.468 8.671
Dy 3.468 5.203 6.937
Pa 0.000 0.000 0.000
Pa 3.468 3.468 -3.468
Pa 3.468 -3.468 3.468
Pa 6.937 0.000 0.000
Pa 10.405 1.734 0.000
Pa 6.937 -3.468 5.203
Pa 5.203 6.937 -3.468
Pa 5.203 0.000 3.468
Pa 3.468 5.203 0.000
Pa 6.937 3.468 1.734
Pa -3.468 3.468 3.468
Pa 0.000 6.937 0.000
Pa 0.000 0.000 6.937
Pa 3.468 3.468 3.468
Pa 0.000 3.468 5.203
Pa 3.468 1.734 6.937
Pa 1.734 6.937 3.468
Pa 1.734 0.000 10.405
Pa 0.000 10.405 1.734
Pa -3.468 5.203 6.937
N 2.146 -0.229 0.677
N 8.259 4.145 -3.698
N 9.083 0.229 0.677
N 8.259 -2.792 3.698
N 6.707 -0.677 2.146
N 10.635 -1.322 2.792
N 0.677 2.146 -0.229
N 9.728 3.239 -1.322
N 4.145 3.698 -1.322
N 6.260 2.146 0.229
N -0.229 0.677 2.146
N 3.698 -1.322 4.145
N 6.707 6.260 -2.146
N 3.698 1.322 2.792
N 4.145 -3.698 8.259
N 6.260 -2.146 6.707
N 2.792 3.698 1.322
N 7.614 4.791 0.229
N 3.698 8.259 -2.792
N 6.707 0.677 4.791
N 2.146 6.707 -0.677
N 8.259 2.792 3.239
N 1.322 2.792 3.698
N 2.146 0.229 6.260
N 4.791 6.707 0.677
N 5.615 4.145 3.239
N -1.322 4.145 3.698
N 4.791 0.229 7.614
N 0.229 6.260 2.146
N 3.239 -1.322 9.728
N -0.677 2.146 6.707
N 4.145 3.239 5.615
N 0.677 9.083 0.229
N 2.792 10.635 -1.322
N 3.239 5.615 4.145
N 0.229 0.677 9.083
N 3.239 8.259 2.792
N 7.166 6.260 4.791
N 0.677 4.791 6.707
N 2.792 3.239 8.259
N -2.792 3.698 8.259
N 6.260 4.791 7.166
N -3.698 8.259 4.145
N 0.229 7.614 4.791
N -1.322 9.728 3.239
N -2.146 6.707 6.260
N -1.322 2.792 10.635
N 4.791 7.166 6.260



Calculated density list, top to bottom, in g cm⁻³: 12.8 10.9 9.0